Density functional theory data (PBE) for a geometry-optimized KZn2Tc structure.

Computed properties:
The value obtained for the energy above the lowest structure with this stoichiometry is 418.9 meV/atom. The value obtained for the calculated formation energy is 18.59 kcal/mol of atoms.

CIF file:
```
data_KZn2Tc
_space_group_name_H-M_alt 'I 41/a m d'
_space_group_IT_number 141
_cell_length_a 5.184
_cell_length_b 5.184
_cell_length_c 17.572
_cell_angle_alpha 90.00
_cell_angle_beta 90.00
_cell_angle_gamma 90.00
loop_
_space_group_symop_operation_xyz
'x,y,z'
'-x,-y,-z'
'-y+1/4,x+3/4,z+1/4'
'y+1/4,-x+3/4,-z+1/4'
'-x+1/2,-y,z+1/2'
'x+1/2,y,-z+1/2'
'y+1/4,-x+1/4,z+3/4'
'-y+1/4,x+1/4,-z+3/4'
'x,-y,-z'
'-x,y,z'
'-y+1/4,-x+1/4,-z+3/4'
'y+1/4,x+1/4,z+3/4'
'-x+1/2,y,-z+1/2'
'x+1/2,-y,z+1/2'
'y+1/4,x+3/4,-z+1/4'
'-y+1/4,-x+3/4,z+1/4'
'x+1/2,y+1/2,z+1/2'
'-x+1/2,-y+1/2,-z+1/2'
'-y+3/4,x+1/4,z+3/4'
'y+3/4,-x+1/4,-z+3/4'
'-x,-y+1/2,z'
'x,y+1/2,-z'
'y+3/4,-x+3/4,z+1/4'
'-y+3/4,x+3/4,-z+1/4'
'x+1/2,-y+1/2,-z+1/2'
'-x+1/2,y+1/2,z+1/2'
'-y+3/4,-x+3/4,-z+1/4'
'y+3/4,x+3/4,z+1/4'
'-x,y+1/2,-z'
'x,-y+1/2,z'
'y+3/4,x+1/4,-z+3/4'
'-y+3/4,-x+1/4,z+3/4'
loop_
_atom_site_label
_atom_site_fract_x
_atom_site_fract_y
_atom_site_fract_z
K1 0.000 0.250 0.375
Zn1 0.000 0.000 0.000
Tc1 0.000 0.250 0.875
```

Density functional theory data (PBE) for a geometry-optimized SrScB structure.

Computed properties:
The value obtained for the energy above the lowest structure with this stoichiometry is 251.8 meV/atom. The value obtained for the calculated formation energy is 2.69 kcal/mol of atoms.

CIF file:
```
data_SrScB
_space_group_name_H-M_alt 'P 1 m 1'
_space_group_IT_number 6
_space_group_name_Hall 'P -2y'
_cell_length_a 4.574
_cell_length_b 4.484
_cell_length_c 8.435
_cell_angle_alpha 90.00
_cell_angle_beta 94.87
_cell_angle_gamma 90.00
loop_
_atom_site_label
_atom_site_fract_x
_atom_site_fract_y
_atom_site_fract_z
Sr1 0.000 0.000 0.000
Sr2 0.439 0.500 0.657
Sc1 0.449 0.500 0.262
Sc2 0.917 0.000 0.426
B1 0.409 0.000 0.371
B2 0.556 0.000 0.201
```

Density functional theory data (PBE) for a geometry-optimized SrBeRu2 structure.

Computed properties:
The value obtained for the calculated formation energy is 1.51 kcal/mol of atoms.

CIF file:
```
data_SrBeRu2
_space_group_name_H-M_alt 'R -3 m'
_space_group_IT_number 166
_space_group_name_Hall '-R 3 2"'
_cell_length_a 4.1658
_cell_length_b 4.1658
_cell_length_c 16.8002
_cell_angle_alpha 90.00
_cell_angle_beta 90.00
_cell_angle_gamma 120.00
loop_
_atom_site_label
_atom_site_fract_x
_atom_site_fract_y
_atom_site_fract_z
Sr1 0.0000 0.0000 0.0000
Be1 0.0000 0.0000 0.5000
Ru1 0.0000 0.0000 0.1833
```

Density functional theory data (PBE) for a geometry-optimized LaSbSe structure.

Computed properties:
The uncorrected formation energy comes out at -0.753 eV/atom.

CIF file:
```
data_LaSbSe
_space_group_name_H-M_alt 'F -4 3 m'
_space_group_IT_number 216
_space_group_name_Hall 'F -4 2 3'
_cell_length_a 7.384
_cell_length_b 7.384
_cell_length_c 7.384
_cell_angle_alpha 90.00
_cell_angle_beta 90.00
_cell_angle_gamma 90.00
loop_
_atom_site_label
_atom_site_fract_x
_atom_site_fract_y
_atom_site_fract_z
La1 0.000 0.000 0.000
Sb1 0.250 0.250 0.750
Se1 0.250 0.250 0.250
```

Density functional theory data (PBE) for a geometry-optimized HoH5Ir structure.

CIF file:
```
data_HoH5Ir
_space_group_name_H-M_alt 'C 1 2/c 1'
_space_group_IT_number 15
_space_group_name_Hall '-C 2yc'
_cell_length_a 7.677
_cell_length_b 4.644
_cell_length_c 7.683
_cell_angle_alpha 90.00
_cell_angle_beta 119.62
_cell_angle_gamma 90.00
loop_
_atom_site_label
_atom_site_fract_x
_atom_site_fract_y
_atom_site_fract_z
Ho1 0.000 0.250 0.250
H1 0.000 0.250 0.750
H2 0.165 0.014 0.587
H3 0.165 0.484 0.585
Ir1 0.250 0.250 0.000
```

Density functional theory data (PBE) for a geometry-optimized ScTa2Be structure.

Computed properties:
The value obtained for the calculated formation energy is 7.01 kcal/mol of atoms.

CIF file:
```
data_ScTa2Be
_space_group_name_H-M_alt 'R 3 m'
_space_group_IT_number 160
_space_group_name_Hall 'R 3 -2"'
_cell_length_a 3.0379
_cell_length_b 3.0379
_cell_length_c 26.4028
_cell_angle_alpha 90.00
_cell_angle_beta 90.00
_cell_angle_gamma 120.00
loop_
_atom_site_label
_atom_site_fract_x
_atom_site_fract_y
_atom_site_fract_z
Sc1 0.0000 0.0000 0.0000
Ta1 0.0000 0.0000 0.5181
Ta2 0.0000 0.0000 0.7611
Be1 0.0000 0.0000 0.2552
```

Density functional theory data (PBE) for a geometry-optimized BeCdBIrAu structure.

Computed properties:
The value obtained for the energy above the lowest structure with this stoichiometry is 97.3 meV/atom. The value obtained for the calculated formation energy is -0.66 kcal/mol of atoms.

CIF file:
```
data_BeCdBIrAu
_space_group_name_H-M_alt 'I m m 2'
_space_group_IT_number 44
_space_group_name_Hall 'I 2 -2'
_cell_length_a 3.036
_cell_length_b 3.061
_cell_length_c 15.024
_cell_angle_alpha 90.00
_cell_angle_beta 90.00
_cell_angle_gamma 90.00
loop_
_atom_site_label
_atom_site_fract_x
_atom_site_fract_y
_atom_site_fract_z
Be1 0.000 0.000 0.000
Cd1 0.000 0.500 0.743
B1 0.000 0.000 0.510
Ir1 0.000 0.500 0.107
Au1 0.000 0.500 0.385
```

Density functional theory data (PBE) for a geometry-optimized Cs2GaSnCl5 structure.

Computed properties:
The uncorrected formation energy comes out at -1.384 eV/atom.

CIF file:
```
data_Cs2GaSnCl5
_space_group_name_H-M_alt 'C m c 21'
_space_group_IT_number 36
_space_group_name_Hall 'C 2c -2'
_cell_length_a 4.467
_cell_length_b 21.771
_cell_length_c 13.197
_cell_angle_alpha 90.00
_cell_angle_beta 90.00
_cell_angle_gamma 90.00
loop_
_atom_site_label
_atom_site_fract_x
_atom_site_fract_y
_atom_site_fract_z
Cs1 0.000 0.121 0.000
Cs2 0.000 0.124 0.572
Ga1 0.000 0.490 0.778
Sn1 0.000 0.225 0.285
Cl1 0.000 0.088 0.285
Cl2 0.000 0.281 0.643
Cl3 0.000 0.281 0.926
Cl4 0.000 0.350 0.285
Cl5 0.000 0.496 0.583
```

Computed values of raw total energy (unit: eV for the cell shown) for the preceding records, in sequence: -43.14 -28.68 -71.09 -59.18 -134.16 -97.64 -47.20 -121.72.
Computed values of total magnetic moment (unit: μB per formula unit) for the preceding records, in sequence: 2.474 0.374 0.000 0.000 0.000 0.000 0.000 0.000.